A PBEsol-optimized structure of S. Source: Alexandria, functional SCAN.

```
S
1.0
7.466 0.000 0.000
0.000 11.121 0.000
0.000 0.000 21.492
S
72
Direct
0.003 0.212 0.061
0.005 0.935 0.938
0.026 0.184 0.415
0.036 0.908 0.583
0.037 0.204 0.263
0.037 0.926 0.736
0.071 0.647 0.670
0.072 0.925 0.332
0.088 0.282 0.606
0.097 0.561 0.395
0.147 0.274 0.343
0.151 0.997 0.657
0.162 0.852 0.414
0.164 0.573 0.589
0.169 0.540 0.740
0.170 0.817 0.262
0.188 0.501 0.946
0.196 0.779 0.056
0.304 0.221 0.556
0.312 0.499 0.446
0.330 0.183 0.762
0.331 0.460 0.240
0.336 0.427 0.089
0.338 0.148 0.914
0.349 0.003 0.157
0.353 0.726 0.843
0.403 0.439 0.895
0.412 0.718 0.106
0.428 0.075 0.832
0.429 0.353 0.170
0.463 0.074 0.236
0.463 0.796 0.763
0.464 0.092 0.083
0.474 0.816 0.915
0.495 0.065 0.438
0.497 0.788 0.561
0.503 0.288 0.939
0.505 0.565 0.062
0.526 0.316 0.585
0.536 0.592 0.417
0.537 0.296 0.737
0.537 0.574 0.264
0.571 0.853 0.330
0.572 0.575 0.668
0.588 0.218 0.394
0.597 0.939 0.605
0.647 0.226 0.657
0.651 0.503 0.343
0.662 0.648 0.586
0.664 0.927 0.411
0.669 0.960 0.260
0.670 0.683 0.738
0.688 0.999 0.054
0.696 0.721 0.944
0.804 0.279 0.444
0.812 0.001 0.554
0.830 0.317 0.238
0.831 0.040 0.760
0.836 0.073 0.911
0.838 0.352 0.086
0.849 0.497 0.843
0.853 0.774 0.157
0.903 0.061 0.105
0.912 0.782 0.894
0.928 0.425 0.168
0.929 0.147 0.830
0.963 0.426 0.764
0.963 0.704 0.237
0.964 0.408 0.917
0.974 0.684 0.085
0.995 0.435 0.562
0.997 0.712 0.439
```

- Space-group type: P2_12_12_1
- Uncorrected formation energy: 0.0134 eV per atom

---

A PBEsol-optimized structure of S. Source: Alexandria, functional SCAN.

```
S
1.0
5.372 0.000 0.000
1.669 9.738 0.000
2.640 1.954 14.053
S
28
Direct
0.006 0.205 0.091
0.076 0.933 0.395
0.104 0.629 0.572
0.150 0.428 0.781
0.156 0.428 0.638
0.187 0.008 0.075
0.209 0.593 0.145
0.243 0.820 0.286
0.260 0.337 0.020
0.310 0.021 0.610
0.399 0.820 0.671
0.408 0.399 0.125
0.427 0.944 0.175
0.447 0.701 0.563
0.553 0.299 0.437
0.573 0.056 0.825
0.592 0.601 0.875
0.601 0.180 0.329
0.690 0.979 0.390
0.740 0.663 0.980
0.757 0.180 0.714
0.791 0.407 0.855
0.813 0.992 0.925
0.844 0.572 0.362
0.850 0.572 0.219
0.896 0.371 0.428
0.924 0.067 0.605
0.994 0.795 0.909
```

- Space-group type: P-1
- Uncorrected formation energy: 0.0185 eV per atom

---

no.,raw total energy (eV per atom),total magnetization (μB/cell),N(E_F) (states/eV/cell)
1,-9.61,0.00,0.00
2,-9.61,0.00,0.00